(1)
VASP calculation (PBE) on an optimized crystal structure of Rb2SmYO4.

Formation energy (no corrections)   -21.110 eV/f.u.
Volume   18.13 Å³/atom
VASP energy   -54.06 eV per cell

Cell: 6.177 3.567 6.894 Å, 90.00 107.33 90.00°
Space group P2/m (No. 10)
One atom of each set of equivalent atoms:
Rb  0.000  0.000  0.000 x1
Rb  0.500  0.500  0.000 x1
Sm  0.000  0.500  0.500 x1
Y  0.500  0.000  0.500 x1
O  0.231  0.000  0.678 x2
O  0.279  0.500  0.323 x2

***

(2)
VASP calculation (PBE) on an optimized crystal structure of Rb2SmZn2O4.

Formation energy (no corrections)   -15.153 eV/f.u.
Volume   18.44 Å³/atom
VASP energy   -88.38 eV per cell

Cell: 14.485 3.469 6.935 Å, 90.00 107.70 90.00°
Space group C2/m (No. 12)
One atom of each set of equivalent atoms:
Rb  0.129  0.000  0.060 x4
Sm  0.000  0.000  0.500 x2
Zn  0.182  0.500  0.535 x4
O  0.048  0.500  0.321 x4
O  0.172  0.000  0.688 x4

***

(3)
VASP calculation (PBE) on an optimized crystal structure of RbSnO2.

Formation energy (no corrections)   -5.585 eV/f.u.
Volume   22.26 Å³/atom
VASP energy   -81.89 eV per cell

Cell: 6.228 6.228 9.185 Å, 90.00 90.00 90.00°
Space group I-42d (No. 122)
One atom of each set of equivalent atoms:
Rb  0.000  0.000  0.000 x4
Sn  0.000  0.000  0.500 x4
O  0.136  0.250  0.625 x8

***

(4)
VASP calculation (PBE) on an optimized crystal structure of Rb3SnO3.

Formation energy (no corrections)   -8.493 eV/f.u.
Volume   28.46 Å³/atom
VASP energy   -121.09 eV per cell

Cell: 8.801 15.225 5.947 Å, 90.00 90.00 90.00°
Space group Cmcm (No. 63)
One atom of each set of equivalent atoms:
Rb  0.000  0.170  0.250 x4
Rb  0.244  0.415  0.250 x8
Sn  0.000  0.333  0.750 x4
O  0.000  0.202  0.750 x4
O  0.196  0.399  0.750 x8